# LiTcS2

Crystalline LiTcS2 at its relaxed geometry (PBE, Alexandria via LeMat-Bulk).

Computed properties:
- Uncorrected formation energy: -0.4760 eV per atom
- Total moment: 0.500 μB/atom
- Distance to the lowest polymorph of the same formula: 97 meV/atom

Lattice parameters (Å, degrees): 7.5698 7.5698 7.5698 26.92 26.92 26.92
Positions (direct):
Li 0.0000 0.0000 0.0000
Tc 0.5000 0.5000 0.5000
S 0.1044 0.1044 0.1044
S 0.8956 0.8956 0.8956